# EuIrPb2 (GGA-PBE, optimized geometry)
data_EuIrPb2
_space_group_name_H-M_alt 'R -3 m'
_space_group_IT_number 166
_space_group_name_Hall '-R 3 2"'
_cell_length_a 4.6326
_cell_length_b 4.6326
_cell_length_c 16.6861
_cell_angle_alpha 90.00
_cell_angle_beta 90.00
_cell_angle_gamma 120.00
loop_
_atom_site_label
_atom_site_type_symbol
_atom_site_fract_x
_atom_site_fract_y
_atom_site_fract_z
Eu1 Eu 0.0000 0.0000 0.0000
Ir1 Ir 0.0000 0.0000 0.5000
Pb1 Pb 0.0000 0.0000 0.2255
# DFT formation energy = -60 kJ/mol of formula units